# 1
This record from Alexandria describes crystalline Ac2LaCd2In2 at its relaxed geometry. The functional is GGA-PBE.

Results
Uncorrected energy = -22.57 eV/cell

a b c (Å): 5.1068 5.1068 10.3599
angles (deg): 75.73 75.73 60.00
Closest atoms and distances in Å follow each position.
Atoms (fractional coordinates):
In 0.7321 0.7321 0.8038  3 Cd 2.96
In 0.2679 0.2679 0.1962  3 Cd 2.96
Ac 0.8739 0.8739 0.3782  3 In 3.46, 3 Cd 3.59, 1 La 3.76, 3 Ac 3.81
Ac 0.1261 0.1261 0.6218  3 In 3.46, 3 Cd 3.59, 1 La 3.76, 3 Ac 3.81
La 0.0000 0.0000 0.0000  6 Cd 3.40, 6 In 3.53, 2 Ac 3.76
Cd 0.6096 0.6096 0.1711  3 In 2.96
Cd 0.3904 0.3904 0.8289  3 In 2.96


# 2
This record from Alexandria describes crystalline AcLa2Cd2In2 at its relaxed geometry. The functional is GGA-PBE.

Results
Uncorrected energy = -23.59 eV/cell

a b c (Å): 4.9707 4.9707 10.2274
angles (deg): 75.94 75.94 60.00
Closest atoms and distances in Å follow each position.
Atoms (fractional coordinates):
In 0.7382 0.7382 0.7855  3 Cd 2.89
In 0.2618 0.2618 0.2145  3 Cd 2.89
Cd 0.4177 0.4177 0.7468  3 In 2.89
Cd 0.5823 0.5823 0.2532  3 In 2.89
La 0.8607 0.8607 0.4178  3 La 3.29, 3 Cd 3.29, 4 In 3.50-3.61
La 0.1393 0.1393 0.5822  3 La 3.29, 3 Cd 3.29, 4 In 3.50-3.61
Ac 0.0000 0.0000 0.0000  6 In 3.56, 6 Cd 3.80


# 3
This record from Alexandria describes crystalline AcLa5Cd2In at its relaxed geometry. The functional is GGA-PBE.

Results
Uncorrected energy = -68.42 eV/cell

a b c (Å): 8.8711 8.8711 10.1670
angles (deg): 115.87 115.87 90.00
Closest atoms and distances in Å follow each position.
Atoms (fractional coordinates):
La 0.3310 0.8310 0.2594  1 Cd 3.16, 1 In 3.18
La 0.6690 0.1690 0.7406  1 Cd 3.16, 1 In 3.18
La 0.1690 0.0717 0.7406  1 Cd 3.16, 1 In 3.18
La 0.0717 0.5717 0.7406  1 Cd 3.16, 1 In 3.18
La 0.4283 0.3310 0.2594  1 Cd 3.16, 1 In 3.18
La 0.5000 0.5000 0.0000  4 Cd 3.60, 8 La 3.81, 2 Ac 4.00
La 0.0000 0.0000 0.0000  4 Cd 3.60, 8 La 3.81, 2 Ac 4.00
La 0.8310 0.9283 0.2594  1 Cd 3.16, 1 In 3.18
La 0.9283 0.4283 0.2594  1 Cd 3.16, 1 In 3.18
La 0.5717 0.6690 0.7406  1 Cd 3.16, 1 In 3.18
Cd 0.6092 0.1092 0.0000  1 Cd 2.74
Cd 0.1092 0.3908 0.0000  1 Cd 2.74
Cd 0.3908 0.8908 0.0000  1 Cd 2.74
Cd 0.8908 0.6092 0.0000  1 Cd 2.74
In 0.2500 0.7500 0.5000  4 La 3.18
In 0.7500 0.2500 0.5000  4 La 3.18
Ac 0.2500 0.2500 0.5000  10 La 3.73-4.00
Ac 0.7500 0.7500 0.5000  10 La 3.73-4.00


# 4
This record from Alexandria describes crystalline LiAcCd2In4 at its relaxed geometry. The functional is GGA-PBE.

Results
Uncorrected energy = -20.59 eV/cell

a b c (Å): 5.0314 5.0314 9.9127
angles (deg): 75.30 75.30 60.00
Closest atoms and distances in Å follow each position.
Atoms (fractional coordinates):
Ac 0.0000 0.0000 0.0000  8 In 3.41-3.79, 6 Cd 3.79
In 0.8666 0.8666 0.4003  3 Li 3.05, 4 Cd 3.21-3.26
In 0.1334 0.1334 0.5997  3 Li 3.05, 4 Cd 3.21-3.26
In 0.6035 0.6035 0.1894  1 Li 2.94, 3 Cd 2.97
In 0.3965 0.3965 0.8106  1 Li 2.94, 3 Cd 2.97
Cd 0.2480 0.2480 0.2560  7 In 2.97-3.26
Cd 0.7520 0.7520 0.7440  7 In 2.97-3.26
Li 0.5000 0.5000 0.5000  8 In 2.94-3.05


# 5
This record from Alexandria describes crystalline LiAc2CdIn6 at its relaxed geometry. The functional is GGA-PBE.

Results
Uncorrected energy = -28.65 eV/cell

a b c (Å): 7.4708 7.4681 7.2449
angles (deg): 60.97 60.94 90.26
Closest atoms and distances in Å follow each position.
Atoms (fractional coordinates):
Ac 0.2296 0.7704 0.5000  12 In 3.64-3.82
Ac 0.7704 0.2296 0.5000  12 In 3.64-3.82
Li 0.5000 0.5000 0.0000  6 In 2.50
In 0.2860 0.2860 0.4760  1 Li 2.50, 1 Cd 2.78
In 0.7362 0.2637 0.0000  1 Li 2.50, 1 Cd 2.79
In 0.7174 0.7175 0.0407  1 Li 2.50, 1 Cd 2.78
In 0.7140 0.7140 0.5240  1 Li 2.50, 1 Cd 2.78
In 0.2638 0.7363 0.0000  1 Li 2.50, 1 Cd 2.79
In 0.2826 0.2825 0.9593  1 Li 2.50, 1 Cd 2.78
Cd 0.0000 0.0000 0.0000  6 In 2.78-2.79


# 6
This record from Alexandria describes crystalline Li4AcCdIn2 at its relaxed geometry. The functional is GGA-PBE.

Results
Uncorrected energy = -19.99 eV/cell

a b c (Å): 4.7536 4.7536 9.8199
angles (deg): 75.99 75.99 60.00
Closest atoms and distances in Å follow each position.
Atoms (fractional coordinates):
Cd 0.5000 0.5000 0.5000  8 Li 2.61-2.89
Li 0.8652 0.8652 0.4043  3 Cd 2.89, 4 In 3.06-3.16, 3 Li 3.23
Li 0.1348 0.1348 0.5957  3 Cd 2.89, 4 In 3.06-3.16, 3 Li 3.23
Li 0.5924 0.5924 0.2229  1 Cd 2.61, 3 In 2.77
Li 0.4076 0.4076 0.7771  1 Cd 2.61, 3 In 2.77
Ac 0.0000 0.0000 0.0000  8 Li 3.46-3.81, 6 In 3.68
In 0.2465 0.2465 0.2606  6 Li 2.77-3.06
In 0.7535 0.7535 0.7394  6 Li 2.77-3.06


# 7
This record from Alexandria describes crystalline Li4Ac2Cd3In at its relaxed geometry. The functional is GGA-PBE.

Results
Uncorrected energy = -23.57 eV/cell

a b c (Å): 5.0253 5.0253 9.9698
angles (deg): 90.00 90.00 90.00
Closest atoms and distances in Å follow each position.
Atoms (fractional coordinates):
Cd 0.0000 0.0000 0.5000  4 Li 2.79
Cd 0.5000 0.0000 0.8884  5 Li 2.65-2.75
Cd 0.0000 0.5000 0.1116  5 Li 2.65-2.75
Li 0.5000 0.5000 0.0000  4 Cd 2.75
Li 0.0000 0.0000 0.0000  4 Cd 2.75
Li 0.0000 0.5000 0.3774  3 Cd 2.65-2.79, 2 In 2.79
Li 0.5000 0.0000 0.6226  3 Cd 2.65-2.79, 2 In 2.79
In 0.5000 0.5000 0.5000  4 Li 2.79
Ac 0.5000 0.0000 0.2474  9 Li 3.52-3.78, 2 In 3.56, 7 Cd 3.56-3.80
Ac 0.0000 0.5000 0.7526  9 Li 3.52-3.78, 7 Cd 3.56-3.80, 2 In 3.56


# 8
This record from Alexandria describes crystalline Li4AcCd2In at its relaxed geometry. The functional is GGA-PBE.

Results
Uncorrected energy = -17.66 eV/cell

a b c (Å): 4.7084 4.7084 9.9213
angles (deg): 76.27 76.27 60.00
Closest atoms and distances in Å follow each position.
Atoms (fractional coordinates):
Li 0.8658 0.8658 0.4027  3 In 2.87, 4 Cd 2.98-3.09
Li 0.5932 0.5932 0.2205  1 In 2.67, 3 Cd 2.77
Li 0.4068 0.4068 0.7795  1 In 2.67, 3 Cd 2.77
Li 0.1342 0.1342 0.5973  3 In 2.87, 4 Cd 2.98-3.09
Cd 0.2421 0.2421 0.2738  7 Li 2.77-3.09
Cd 0.7579 0.7579 0.7262  7 Li 2.77-3.09
In 0.5000 0.5000 0.5000  8 Li 2.67-2.87
Ac 0.0000 0.0000 0.0000  8 Li 3.44-3.84, 6 Cd 3.77


> uncorrected energy of number 8 (Li4AcCd2In)?

-17.66 eV/cell


> Number 2 is which compound?

AcLa2Cd2In2


> uncorrected energy of number 1 (Ac2LaCd2In2)?

-22.57 eV/cell